# 1
Material: Y2InFe
Method: DFT, PBE
State: relaxed

- energy relative to the elements (meV/atom) = 28.3
- raw total energy (eV/atom) = -6.0040
- spin magnetization (Bohr magnetons per cell) = 2.72
- space group = P4mm, No. 99

Geometry as POSCAR:
```
Y2InFe
1.0
3.442 0.000 0.000
0.000 3.442 0.000
0.000 0.000 8.183
Y In Fe
2 1 1
Cartesian
0.000 0.000 0.000
1.721 1.721 2.815
1.721 1.721 5.995
0.000 0.000 4.583
```

# 2
Material: Y2InFe
Method: DFT, PBE
State: relaxed

- energy relative to the elements (meV/atom) = -103.4
- raw total energy (eV/atom) = -6.1357
- spin magnetization (Bohr magnetons per cell) = 3.07
- space group = Amm2, No. 38

Geometry as POSCAR:
```
Y2InFe
1.0
4.483 0.000 0.000
0.000 3.881 0.000
0.000 0.000 11.404
Y In Fe
4 2 2
Cartesian
0.000 0.000 0.000
0.000 1.941 5.702
2.242 0.000 3.434
2.242 1.941 9.136
0.000 0.000 8.161
0.000 1.941 2.459
2.242 0.000 6.564
2.242 1.941 0.862
```

# 3
Material: YInFe2
Method: DFT, PBE
State: relaxed

- energy relative to the elements (meV/atom) = 217.8
- raw total energy (eV/atom) = -6.3141
- spin magnetization (Bohr magnetons per cell) = 19.96
- space group = F-43m, No. 216

Geometry as POSCAR:
```
YInFe2
1.0
6.678 0.000 0.000
0.000 6.678 0.000
0.000 0.000 6.678
Y In Fe
4 4 8
Cartesian
0.000 0.000 0.000
0.000 3.339 3.339
3.339 0.000 3.339
3.339 3.339 0.000
1.670 1.670 1.670
1.670 5.009 5.009
5.009 1.670 5.009
5.009 5.009 1.670
0.000 0.000 3.339
0.000 3.339 0.000
1.670 1.670 5.009
1.670 5.009 1.670
3.339 0.000 0.000
3.339 3.339 3.339
5.009 1.670 1.670
5.009 5.009 5.009
```

# 4
Material: YIn2Fe
Method: DFT, PBE
State: relaxed

- energy relative to the elements (meV/atom) = 122.8
- raw total energy (eV/atom) = -4.9781
- spin magnetization (Bohr magnetons per cell) = 6.67
- space group = R-3m, No. 166

Geometry as POSCAR:
```
YIn2Fe
1.0
3.637 0.000 0.000
-1.819 3.150 0.000
0.000 0.000 24.837
Y In Fe
3 6 3
Cartesian
0.000 0.000 0.000
0.000 2.100 16.558
1.819 1.050 8.279
0.000 0.000 5.845
0.000 0.000 18.992
0.000 2.100 10.713
0.000 2.100 22.403
1.819 1.050 2.434
1.819 1.050 14.124
0.000 0.000 12.418
0.000 2.100 4.139
1.819 1.050 20.697
```